Entry 1:
VASP calculation (GGA-PBE) on crystalline Ni5Ir4 at its relaxed geometry.

Cell and atoms, written as POSCAR:
```
Ni5Ir4
1.0
7.253 0.000 0.000
3.626 6.281 0.000
0.000 0.000 5.091
Ir Ni
8 10
Direct
0.349 0.651 0.750
0.000 0.000 0.500
0.000 0.349 0.750
0.000 0.651 0.250
0.651 0.349 0.250
0.000 0.000 0.000
0.651 0.000 0.750
0.349 0.000 0.250
0.321 0.679 0.250
0.679 0.000 0.250
0.667 0.667 0.000
0.321 0.000 0.750
0.333 0.333 0.000
0.000 0.679 0.750
0.333 0.333 0.500
0.000 0.321 0.250
0.679 0.321 0.750
0.667 0.667 0.500
```

- Formation energy: 22.9 kJ/mol of atoms
- V: 231.94 Å³/cell
- Symmetry: P6_3/mcm (193)
- Density of states at the Fermi level: 15.8 states/eV/f.u.

=====

Entry 2:
VASP calculation (GGA-PBE) on crystalline BiHBr3 at its relaxed geometry.

Cell and atoms, written as POSCAR:
```
BiHBr3
1.0
-0.203 5.182 2.410
-3.328 1.853 -4.265
-4.645 -1.554 2.950
Br H Bi
3 1 1
Direct
0.500 0.000 0.000
0.000 0.500 0.000
0.000 0.000 0.500
0.500 0.500 0.500
0.000 0.000 0.000
```

- Total DFT energy (no corrections): -12.45 eV for the cell shown
- V: 186.97 Å³/cell
- Symmetry: Pm-3m (221)
- Density of states at the Fermi level: 0.0 states/eV/f.u.

=====

Entry 3:
VASP calculation (GGA-PBE) on crystalline Pr6Ag5Pb at its relaxed geometry.

Cell and atoms, written as POSCAR:
```
Pr6Ag5Pb
1.0
-3.154 1.341 -4.123
0.712 -7.128 -2.863
-4.899 -3.003 6.259
Ag Pr Pb
5 6 1
Direct
0.338 0.000 0.670
0.000 0.500 0.000
0.662 0.000 0.330
0.337 0.500 0.668
0.663 0.500 0.332
0.832 0.747 0.660
0.168 0.747 0.340
0.168 0.253 0.340
0.500 0.742 0.000
0.832 0.253 0.660
0.500 0.258 0.000
0.000 0.000 0.000
```

- Formation energy: -28.3 kJ/mol of atoms
- V: 333.45 Å³/cell
- Symmetry: P2/m (10)
- Density of states at the Fermi level: 11.6 states/eV/f.u.

=====

Entry 4:
VASP calculation (GGA-PBE) on crystalline Cs2IrI4Br2 at its relaxed geometry.

Cell and atoms, written as POSCAR:
```
Cs2IrI4Br2
1.0
7.658 1.026 0.698
2.846 7.734 0.566
2.846 3.366 6.986
I Cs Br Ir
4 2 2 1
Direct
0.255 0.245 0.755
0.255 0.755 0.245
0.745 0.755 0.245
0.745 0.245 0.755
0.250 0.750 0.750
0.750 0.250 0.250
0.706 0.794 0.794
0.294 0.206 0.206
0.500 0.000 0.000
```

- Raw formation energy: -804 meV/atom
- V: 371.77 Å³/cell
- Symmetry: I4/mmm (139)
- Density of states at the Fermi level: 11.2 states/eV/f.u.

=====

Entry 5:
VASP calculation (GGA-PBE) on crystalline BaTiF2 at its relaxed geometry.

Cell and atoms, written as POSCAR:
```
BaTiF2
1.0
0.964 -4.816 4.032
3.845 -5.002 0.757
4.426 -2.157 4.017
F Ti Ba
2 1 1
Direct
0.885 0.885 0.885
0.115 0.115 0.115
0.000 0.000 0.000
0.500 0.500 0.500
```

- Raw formation energy: -2195 meV/atom
- V: 96.27 Å³/cell
- Symmetry: R-3m (166)
- Density of states at the Fermi level: 4.6 states/eV/f.u.

=====

Entry 6:
VASP calculation (GGA-PBE) on crystalline BeCdPt2 at its relaxed geometry.

Cell and atoms, written as POSCAR:
```
BeCdPt2
1.0
-1.524 3.873 -2.002
-1.655 0.348 4.297
2.429 1.382 0.824
Pt Be Cd
2 1 1
Direct
0.500 0.500 0.000
0.000 0.000 0.000
0.500 0.000 0.500
0.000 0.500 0.500
```

- Formation energy: -24.5 kJ/mol of atoms
- V: 60.60 Å³/cell
- Symmetry: Cmmm (65)
- Density of states at the Fermi level: 0.6 states/eV/f.u.

=====

Entry 7:
VASP calculation (GGA-PBE) on crystalline Sc3VBr at its relaxed geometry.

Cell and atoms, written as POSCAR:
```
Sc3VBr
1.0
-0.997 0.337 4.847
1.344 -4.736 0.606
4.669 1.436 0.861
V Br Sc
1 1 3
Direct
0.500 0.500 0.500
0.000 0.000 0.000
0.000 0.000 0.500
0.000 0.500 0.000
0.500 0.000 0.000
```

- Raw formation energy: 306 meV/atom
- V: 122.05 Å³/cell
- Symmetry: Pm-3m (221)
- Density of states at the Fermi level: 6.6 states/eV/f.u.

=====

Entry 8:
VASP calculation (GGA-PBE) on crystalline Dy4TlRh3 at its relaxed geometry.

Cell and atoms, written as POSCAR:
```
Dy4TlRh3
1.0
4.891 0.000 0.000
0.000 7.312 0.000
0.000 0.000 9.784
Dy Rh Tl
8 6 2
Direct
0.000 0.231 0.750
0.000 0.769 0.750
0.000 0.769 0.250
0.500 0.231 0.000
0.500 0.769 0.000
0.500 0.769 0.500
0.500 0.231 0.500
0.000 0.231 0.250
0.500 0.500 0.250
0.000 0.000 0.500
0.500 0.000 0.750
0.000 0.000 0.000
0.500 0.500 0.750
0.500 0.000 0.250
0.000 0.500 0.000
0.000 0.500 0.500
```

- Formation energy: -65.6 kJ/mol of atoms
- V: 349.94 Å³/cell
- Symmetry: P4/mmm (123)
- Density of states at the Fermi level: 4.1 states/eV/f.u.

=====

Entry 9:
VASP calculation (GGA-PBE) on crystalline CsAgAs2Se at its relaxed geometry.

Cell and atoms, written as POSCAR:
```
CsAgAs2Se
1.0
-3.642 3.950 -2.639
1.540 -2.165 -5.364
-4.530 -3.974 0.303
Cs Ag As Se
1 1 2 1
Direct
0.000 0.000 0.000
0.500 0.500 0.500
0.500 0.000 0.000
0.000 0.500 0.000
0.000 0.000 0.500
```

- Raw formation energy: 1583 meV/atom
- V: 216.22 Å³/cell
- Symmetry: P4/mmm (123)
- Density of states at the Fermi level: 4.4 states/eV/f.u.

=====

Entry 10:
VASP calculation (GGA-PBE) on crystalline CaCo2Os2 at its relaxed geometry.

Cell and atoms, written as POSCAR:
```
CaCo2Os2
1.0
-3.982 -0.671 -0.594
0.894 -2.771 -2.861
-1.462 -5.313 1.777
Co Os Ca
2 2 1
Direct
0.750 0.250 0.500
0.250 0.750 0.500
0.618 0.618 0.764
0.382 0.382 0.236
0.000 0.000 0.000
```

- Formation energy: 30.0 kJ/mol of atoms
- V: 83.61 Å³/cell
- Symmetry: I4/mmm (139)
- Density of states at the Fermi level: 5.0 states/eV/f.u.

=====

Entry 11:
VASP calculation (GGA-PBE) on crystalline LiAg2RhCl6 at its relaxed geometry.

Cell and atoms, written as POSCAR:
```
LiAg2RhCl6
1.0
6.542 0.000 0.000
3.271 5.665 0.000
3.272 1.889 6.384
Cl Li Ag Rh
6 1 2 1
Direct
0.967 0.568 0.173
0.121 0.428 0.742
0.428 0.708 0.742
0.708 0.121 0.742
0.568 0.291 0.173
0.291 0.967 0.173
0.692 0.692 0.922
0.012 0.012 0.963
0.526 0.526 0.422
0.346 0.346 0.963
```

- Raw formation energy: -763 meV/atom
- V: 236.59 Å³/cell
- Symmetry: R3 (146)

=====

Entry 12:
VASP calculation (GGA-PBE) on crystalline Ta3GaCl at its relaxed geometry.

Cell and atoms, written as POSCAR:
```
Ta3GaCl
1.0
-3.057 3.327 -0.208
-1.701 -1.315 3.979
2.867 2.767 2.140
Ta Ga Cl
3 1 1
Direct
0.000 0.000 0.500
0.500 0.000 0.000
0.000 0.500 0.000
0.500 0.500 0.500
0.000 0.000 0.000
```

- Raw formation energy: 894 meV/atom
- V: 92.52 Å³/cell
- Symmetry: Pm-3m (221)
- Density of states at the Fermi level: 6.2 states/eV/f.u.

=====

Entry 13:
VASP calculation (GGA-PBE) on crystalline Na2Li2Si at its relaxed geometry.

Cell and atoms, written as POSCAR:
```
Na2Li2Si
1.0
-5.072 -3.219 -3.111
4.449 -3.106 -4.039
0.366 -3.767 3.300
Li Na Si
4 4 2
Direct
0.336 0.836 0.000
0.836 0.664 0.000
0.164 0.336 0.000
0.664 0.164 0.000
0.312 0.188 0.500
0.688 0.812 0.500
0.812 0.312 0.500
0.188 0.688 0.500
0.000 0.000 0.000
0.500 0.500 0.000
```

- Raw formation energy: 67 meV/atom
- V: 229.82 Å³/cell
- Symmetry: P4/mbm (127)
- Density of states at the Fermi level: 1.7 states/eV/f.u.

=====

Entry 14:
VASP calculation (GGA-PBE) on crystalline CaThGaSn at its relaxed geometry.

Cell and atoms, written as POSCAR:
```
CaThGaSn
1.0
-1.370 2.287 -4.631
-4.942 1.916 -0.674
-0.811 5.276 -0.237
Ga Th Ca Sn
1 1 1 1
Direct
0.750 0.750 0.750
0.000 0.000 0.000
0.500 0.500 0.500
0.250 0.250 0.250
```

- Formation energy: -38.8 kJ/mol of atoms
- V: 107.88 Å³/cell
- Symmetry: F-43m (216)
- Density of states at the Fermi level: 3.3 states/eV/f.u.

=====

Entry 15:
VASP calculation (GGA-PBE) on crystalline Sr2ZnAgH at its relaxed geometry.

Cell and atoms, written as POSCAR:
```
Sr2ZnAgH
1.0
-5.378 -0.019 -0.955
-0.751 -3.291 4.294
-0.434 3.204 2.379
Zn H Sr Ag
1 1 2 1
Direct
0.500 0.500 0.500
0.000 0.000 0.000
0.500 0.000 0.000
0.000 0.500 0.000
0.000 0.000 0.500
```

- Total DFT energy (no corrections): -11.92 eV for the cell shown
- V: 119.76 Å³/cell
- Symmetry: P4/mmm (123)
- Density of states at the Fermi level: 2.6 states/eV/f.u.

=====

Entry 16:
VASP calculation (GGA-PBE) on crystalline Na2NiRh2 at its relaxed geometry.

Cell and atoms, written as POSCAR:
```
Na2NiRh2
1.0
-1.784 -5.907 -0.184
0.655 -0.007 -6.139
4.673 -1.427 0.500
Na Rh Ni
4 4 2
Direct
0.176 0.676 0.500
0.676 0.824 0.500
0.824 0.324 0.500
0.324 0.176 0.500
0.861 0.639 0.000
0.361 0.861 0.000
0.139 0.361 0.000
0.639 0.139 0.000
0.000 0.000 0.000
0.500 0.500 0.000
```

- Formation energy: 34.9 kJ/mol of atoms
- V: 187.21 Å³/cell
- Symmetry: P4/mbm (127)
- Density of states at the Fermi level: 4.6 states/eV/f.u.

=====

Entry 17:
VASP calculation (GGA-PBE) on crystalline ZnCu2Br at its relaxed geometry.

Cell and atoms, written as POSCAR:
```
ZnCu2Br
1.0
-0.602 -0.407 3.191
0.031 -3.247 -0.408
6.529 -0.091 1.220
Cu Br Zn
2 1 1
Direct
0.000 0.000 0.034
0.500 0.500 0.241
0.500 0.500 0.820
0.000 0.000 0.404
```

- Raw formation energy: 169 meV/atom
- V: 71.13 Å³/cell
- Symmetry: P4mm (99)
- Density of states at the Fermi level: 1.0 states/eV/f.u.

=====

Entry 18:
VASP calculation (GGA-PBE) on crystalline LaBeBr2 at its relaxed geometry.

Cell and atoms, written as POSCAR:
```
LaBeBr2
1.0
-2.603 -1.573 2.151
2.217 -2.946 0.529
3.437 3.836 6.964
Br La Be
2 1 1
Direct
0.000 0.000 0.450
0.000 0.000 0.050
0.500 0.500 0.250
0.500 0.500 0.750
```

- Raw formation energy: -485 meV/atom
- V: 120.17 Å³/cell
- Symmetry: P4/mmm (123)
- Density of states at the Fermi level: 1.9 states/eV/f.u.

=====

Entry 19:
VASP calculation (GGA-PBE) on crystalline GdDyTl2 at its relaxed geometry.

Cell and atoms, written as POSCAR:
```
GdDyTl2
1.0
-2.954 -1.103 -1.755
0.185 -3.183 1.690
-4.839 3.031 6.241
Tl Gd Dy
2 1 1
Direct
0.000 0.000 0.747
0.000 0.000 0.253
0.500 0.500 0.000
0.500 0.500 0.500
```

- Formation energy: -36.0 kJ/mol of atoms
- V: 110.16 Å³/cell
- Symmetry: P4/mmm (123)
- Density of states at the Fermi level: 2.3 states/eV/f.u.

=====

Entry 20:
VASP calculation (GGA-PBE) on crystalline CrTc5 at its relaxed geometry.

Cell and atoms, written as POSCAR:
```
CrTc5
1.0
-1.098 0.083 4.932
0.024 4.380 2.521
-4.349 2.026 1.586
Tc Cr
5 1
Direct
0.122 0.626 0.626
0.626 0.122 0.626
0.250 0.250 0.250
0.626 0.626 0.626
0.626 0.626 0.122
0.000 0.000 0.000
```

- Formation energy: 33.4 kJ/mol of atoms
- V: 91.24 Å³/cell
- Symmetry: F-43m (216)
- Density of states at the Fermi level: 5.4 states/eV/f.u.